The following is a DFT calculation (GGA-PBE) of a relaxed structure of BaHfO3. Values from VASP.

The volume is 307 Å³/cell. The total magnetization is 0.0 μB per formula unit. The value obtained for the total DFT energy (no corrections) is -43.0 eV per formula unit.

Geometry as Quantum ESPRESSO input:
```
&SYSTEM
  ibrav = 0, nat = 20, ntyp = 3
/
ATOMIC_SPECIES
Ba 137.33 Ba.upf
Hf 178.49 Hf.upf
O 16.00 O.upf
CELL_PARAMETERS angstrom
5.946 0.000 0.000
-2.973 5.149 0.000
0.000 0.000 10.039
ATOMIC_POSITIONS crystal
Ba 0.000 0.000 0.000
Ba 0.000 0.000 0.500
Ba 0.333 0.667 0.250
Ba 0.667 0.333 0.750
Hf 0.333 0.667 0.610
Hf 0.333 0.667 0.890
Hf 0.667 0.333 0.110
Hf 0.667 0.333 0.390
O 0.000 0.500 0.000
O 0.000 0.500 0.500
O 0.181 0.361 0.750
O 0.181 0.819 0.750
O 0.361 0.181 0.250
O 0.500 0.000 0.000
O 0.500 0.000 0.500
O 0.500 0.500 0.000
O 0.500 0.500 0.500
O 0.639 0.819 0.750
O 0.819 0.181 0.250
O 0.819 0.639 0.250
```